[1]
VASP calculation (PBE-GGA) on a relaxed structure of TcAg2Au.

Cell lengths 2.746, 2.746, 8.957 Å; angles 90.00, 90.00, 90.00 degrees
Atoms (fractional coordinates):
Tc (0.000, 0.000, 0.000)
Ag (0.500, 0.500, 0.244)
Ag (0.500, 0.500, 0.756)
Au (0.000, 0.000, 0.500)

VASP energy in eV per atom: -4.51
Spin magnetization in μB/f.u.: 0.00
Formation energy in eV/f.u.: 1.33
Crystal system: tetragonal

=====

[2]
VASP calculation (PBE-GGA) on a relaxed structure of Ni3Pb.

Cell lengths 3.812, 3.812, 3.812 Å; angles 90.00, 90.00, 90.00 degrees
Atoms (fractional coordinates):
Ni (0.000, 0.000, 0.500)
Ni (0.000, 0.500, 0.000)
Ni (0.500, 0.000, 0.000)
Pb (0.500, 0.500, 0.500)

VASP energy in eV per atom: -5.12
Spin magnetization in μB/f.u.: 0.00
Formation energy in eV/f.u.: 0.56
Crystal system: cubic

=====

[3]
VASP calculation (PBE-GGA) on a relaxed structure of Sc2HCl.

Cell lengths 3.468, 3.468, 21.875 Å; angles 90.00, 90.00, 120.00 degrees
Atoms (fractional coordinates):
Sc (0.000, 0.000, 0.114)
Sc (0.000, 0.000, 0.886)
Sc (0.333, 0.667, 0.553)
Sc (0.333, 0.667, 0.780)
Sc (0.667, 0.333, 0.220)
Sc (0.667, 0.333, 0.447)
H (0.000, 0.000, 0.500)
H (0.333, 0.667, 0.167)
H (0.667, 0.333, 0.833)
Cl (0.000, 0.000, 0.000)
Cl (0.333, 0.667, 0.667)
Cl (0.667, 0.333, 0.333)

VASP energy in eV per atom: -5.13
Spin magnetization in μB/f.u.: 0.00
Crystal system: trigonal

=====

[4]
VASP calculation (PBE-GGA) on a relaxed structure of TcGeMoRu.

Cell lengths 6.163, 6.163, 6.163 Å; angles 90.00, 90.00, 90.00 degrees
Atoms (fractional coordinates):
Tc (0.000, 0.000, 0.000)
Tc (0.000, 0.500, 0.500)
Tc (0.500, 0.000, 0.500)
Tc (0.500, 0.500, 0.000)
Ge (0.250, 0.250, 0.250)
Ge (0.250, 0.750, 0.750)
Ge (0.750, 0.250, 0.750)
Ge (0.750, 0.750, 0.250)
Mo (0.250, 0.250, 0.750)
Mo (0.250, 0.750, 0.250)
Mo (0.750, 0.250, 0.250)
Mo (0.750, 0.750, 0.750)
Ru (0.000, 0.000, 0.500)
Ru (0.000, 0.500, 0.000)
Ru (0.500, 0.000, 0.000)
Ru (0.500, 0.500, 0.500)

VASP energy in eV per atom: -8.82
Spin magnetization in μB/f.u.: 0.00
Formation energy in eV/f.u.: -0.18
Crystal system: cubic

=====

[5]
VASP calculation (PBE-GGA) on a relaxed structure of Mg3In2Bi2.

Cell lengths 4.749, 5.023, 8.855 Å; angles 105.95, 105.12, 90.19 degrees
Atoms (fractional coordinates):
Mg (0.000, 0.000, 0.000)
Mg (0.250, 0.251, 0.507)
Mg (0.750, 0.749, 0.493)
In (0.109, 0.607, 0.216)
In (0.891, 0.393, 0.784)
Bi (0.372, 0.863, 0.738)
Bi (0.628, 0.137, 0.262)

VASP energy in eV per atom: -2.67
Spin magnetization in μB/f.u.: 0.00
Formation energy in eV/f.u.: -0.66
Crystal system: triclinic

=====

[6]
VASP calculation (PBE-GGA) on a relaxed structure of MnInIr.

Cell lengths 4.767, 2.996, 7.218 Å; angles 90.00, 107.54, 90.00 degrees
Atoms (fractional coordinates):
Mn (0.000, 0.000, 0.000)
Mn (0.217, 0.000, 0.691)
In (0.263, 0.500, 0.362)
In (0.516, 0.500, 0.023)
Ir (0.743, 0.500, 0.701)
Ir (0.776, 0.000, 0.367)

VASP energy in eV per atom: -6.85
Spin magnetization in μB/f.u.: 3.62
Formation energy in eV/f.u.: 0.21
Crystal system: monoclinic

=====

[7]
VASP calculation (PBE-GGA) on a relaxed structure of Y2Er8Sc3.

Cell lengths 8.475, 8.475, 6.510 Å; angles 97.23, 97.23, 61.37 degrees
Atoms (fractional coordinates):
Y (0.202, 0.202, 0.281)
Y (0.798, 0.798, 0.719)
Er (0.194, 0.194, 0.786)
Er (0.209, 0.574, 0.574)
Er (0.413, 0.413, 0.115)
Er (0.426, 0.791, 0.426)
Er (0.574, 0.209, 0.574)
Er (0.587, 0.587, 0.885)
Er (0.791, 0.426, 0.426)
Er (0.806, 0.806, 0.214)
Sc (0.000, 0.000, 0.500)
Sc (0.164, 0.836, 0.000)
Sc (0.836, 0.164, 0.000)

VASP energy in eV per atom: -5.00
Spin magnetization in μB/f.u.: 0.00
Formation energy in eV/f.u.: 3.44
Crystal system: monoclinic

=====

[8]
VASP calculation (PBE-GGA) on a relaxed structure of YAl2Se.

Cell lengths 3.869, 3.906, 6.224 Å; angles 90.00, 90.00, 90.00 degrees
Atoms (fractional coordinates):
Y (0.000, 0.000, 0.000)
Al (0.000, 0.000, 0.486)
Al (0.500, 0.500, 0.332)
Se (0.500, 0.500, 0.895)

VASP energy in eV per atom: -4.91
Spin magnetization in μB/f.u.: 0.00
Crystal system: orthorhombic
Formation energy (no corrections) in meV/atom: -551

=====

spin magnetization of number 4 (TcGeMoRu)?
0.00 μB/f.u.

=====

Please write out number 6 again, unchanged.
VASP calculation (PBE-GGA) on a relaxed structure of MnInIr.

Cell lengths 4.767, 2.996, 7.218 Å; angles 90.00, 107.54, 90.00 degrees
Atoms (fractional coordinates):
Mn (0.000, 0.000, 0.000)
Mn (0.217, 0.000, 0.691)
In (0.263, 0.500, 0.362)
In (0.516, 0.500, 0.023)
Ir (0.743, 0.500, 0.701)
Ir (0.776, 0.000, 0.367)

VASP energy in eV per atom: -6.85
Spin magnetization in μB/f.u.: 3.62
Formation energy in eV/f.u.: 0.21
Crystal system: monoclinic

=====

Which of these has the lowest VASP energy?
TcGeMoRu